The following is a PBE calculation of a relaxed AcB6Ir12 crystal, from Alexandria via LeMat-Bulk.

Output
- Formation energy from the elements: -0.298 eV per atom

Unit cell a=10.3526 b=10.3526 c=8.2237 alpha=90.00 beta=90.00 gamma=120.00
Closest atoms and distances in Å follow each position.
Space group R-3m (No. 166, hexagonal axes)
Symmetry-distinct sites (fractional):
1 Ac 0.0000 0.0000 0.0000 [3 per cell]  18 Ir 3.36-3.57, 6 B 3.41
2 B 0.0448 0.5224 0.2939 [18 per cell]  7 Ir 2.24-2.41
3 Ir 0.0000 0.3646 0.5000 [18 per cell]  4 B 2.24-2.26
4 Ir 0.0876 0.1752 0.3611 [18 per cell]  3 B 2.26-2.41



The following is a PBE calculation of a relaxed Ac2B2Ir3 crystal, from Alexandria via LeMat-Bulk.

Output
- Formation energy from the elements: -0.272 eV per atom

Unit cell a=4.3709 b=4.2751 c=8.5091 alpha=90.00 beta=94.16 gamma=90.00
Closest atoms and distances in Å follow each position.
Space group P2/m (No. 10)
Symmetry-distinct sites (fractional):
1 Ac 0.2500 0.0000 0.2495 [2 per cell]  4 B 3.03-3.15, 4 Ir 3.15-3.29
2 B 0.2388 0.5000 0.8032 [2 per cell]  2 Ir 1.91-2.04
3 Ir 0.0000 0.5000 0.0000 [1 per cell]  2 B 2.04
4 Ir 0.2576 0.5000 0.5802 [2 per cell]  1 B 1.91



The following is a PBE calculation of a relaxed AcB2Ir3 crystal, from Alexandria via LeMat-Bulk.

Output
- Offset from the most stable computed form: 1.32 eV/f.u.
- Formation energy from the elements: -0.141 eV per atom

Unit cell a=9.2926 b=9.2926 c=3.6251 alpha=90.00 beta=90.00 gamma=120.00
Closest atoms and distances in Å follow each position.
Space group P6/mmm (No. 191)
Symmetry-distinct sites (fractional):
1 Ac 0.0000 0.0000 0.0000 [1 per cell]  6 B 2.93, 12 Ir 3.19
2 Ac 0.3333 0.6667 0.5000 [2 per cell]  6 B 3.04, 12 Ir 3.24-3.36
3 B 0.1818 0.3636 0.0000 [6 per cell]  6 Ir 2.33-2.57
4 Ir 0.0000 0.2829 0.5000 [6 per cell]  4 B 2.33
5 Ir 0.0000 0.5000 0.0000 [3 per cell]  4 B 2.57, 4 Ir 2.71



The following is a PBE calculation of a relaxed AcBIr crystal, from Alexandria via LeMat-Bulk.

Output
- Offset from the most stable computed form: 2.39 eV/f.u.
- Formation energy from the elements: 0.191 eV per atom

Unit cell a=3.1608 b=3.1608 c=10.8150 alpha=90.00 beta=90.00 gamma=90.00
Closest atoms and distances in Å follow each position.
Space group I4mm (No. 107)
Symmetry-distinct sites (fractional):
1 Ac 0.0000 0.0000 0.0000 [2 per cell]  5 Ir 2.99-3.29, 5 B 3.14-3.19, 4 Ac 3.16
2 B 0.0000 0.0000 0.7098 [2 per cell]  4 Ir 2.35
3 Ir 0.0000 0.0000 0.2766 [2 per cell]  4 B 2.35



Copy entry 2 word for word.
The following is a PBE calculation of a relaxed Ac2B2Ir3 crystal, from Alexandria via LeMat-Bulk.

Output
- Formation energy from the elements: -0.272 eV per atom

Unit cell a=4.3709 b=4.2751 c=8.5091 alpha=90.00 beta=94.16 gamma=90.00
Closest atoms and distances in Å follow each position.
Space group P2/m (No. 10)
Symmetry-distinct sites (fractional):
1 Ac 0.2500 0.0000 0.2495 [2 per cell]  4 B 3.03-3.15, 4 Ir 3.15-3.29
2 B 0.2388 0.5000 0.8032 [2 per cell]  2 Ir 1.91-2.04
3 Ir 0.0000 0.5000 0.0000 [1 per cell]  2 B 2.04
4 Ir 0.2576 0.5000 0.5802 [2 per cell]  1 B 1.91



- The highest formation energy from the elements belongs to which entry?
  AcBIr